Here is a geometry-optimized PaCuAu structure from Alexandria via LeMat-Bulk. Energies are from PBE-GGA.

```
12
Lattice="5.093 0.000 0.000 0.000 4.214 0.000 0.000 0.000 10.991" Properties=species:S:1:pos:R:3 pbc="T T T"
Pa 0.667 1.054 1.430
Pa 1.879 3.161 6.926
Pa 3.214 1.054 4.066
Pa 4.425 3.161 9.561
Cu 0.738 1.054 5.289
Cu 1.808 3.161 10.785
Cu 3.285 1.054 0.206
Cu 4.354 3.161 5.702
Au 0.879 3.161 3.578
Au 1.668 1.054 9.074
Au 3.425 3.161 1.918
Au 4.214 1.054 7.413
```

**Volume**: 59.0 Å³/f.u.
**Calculated formation energy**: -0.16 eV per atom
**VASP energy**: -0.213 hartree per atom
**Energy above the most stable polymorph in this dataset**: 0.126 eV per atom

---

Here is a geometry-optimized LiAl2TlF8 structure from Alexandria via LeMat-Bulk. Energies are from PBE-GGA.

```
12
Lattice="2.599 1.501 7.856 -2.599 1.501 7.856 0.000 -3.001 7.856" Properties=species:S:1:pos:R:3 pbc="T T T"
Li 0.000 0.000 0.000
Al 0.000 0.000 6.219
Al 0.000 0.000 17.350
Tl 0.000 0.000 11.784
F -1.887 -0.028 9.038
F 0.000 0.000 4.503
F -0.919 -1.648 14.531
F 0.968 -1.620 9.038
F -0.968 1.620 14.531
F 0.919 1.648 9.038
F 0.000 0.000 19.066
F 1.887 0.028 14.531
```

**Volume**: 183.8 Å³/f.u.
**VASP energy**: -0.196 hartree per atom

---

> Among the records above, which one has the lowest volume?

PaCuAu